No. 1
The following is a SCAN calculation of a crystal of YHPb relaxed with PBEsol, from Alexandria.

Structure (extended XYZ):
```
3
Lattice="3.628 0.000 0.000 -1.814 3.142 0.000 0.000 0.000 5.066" Properties=species:S:1:pos:R:3 pbc="T T T"
Y 0.000 0.000 0.000
H 0.000 2.095 0.000
Pb 1.814 1.047 2.533
```

Summary:
density = 8.5 g/cm³
E_tot = -109.2 eV/cell
symmetry = No. 187

No. 2
The following is a SCAN calculation of a crystal of ZnH3Pb relaxed with PBEsol, from Alexandria.

Structure (extended XYZ):
```
5
Lattice="4.123 0.000 0.000 0.000 4.123 0.000 0.000 0.000 4.123" Properties=species:S:1:pos:R:3 pbc="T T T"
Zn 0.000 0.000 0.000
H 0.000 2.061 2.061
H 2.061 0.000 2.061
H 2.061 2.061 0.000
Pb 2.061 2.061 2.061
```

Summary:
polymorph energy (0 for the lowest one) = 0.213 eV per atom
density = 6.5 g/cm³
symmetry = No. 221

No. 3
The following is a SCAN calculation of a crystal of ZnH3Pb relaxed with PBEsol, from Alexandria.

Structure (extended XYZ):
```
5
Lattice="3.796 0.000 0.000 0.000 3.796 0.000 0.000 0.000 3.796" Properties=species:S:1:pos:R:3 pbc="T T T"
Zn 0.000 0.000 0.000
H 0.000 0.000 1.898
H 0.000 1.898 0.000
H 1.898 0.000 0.000
Pb 1.898 1.898 1.898
```

Summary:
polymorph energy (0 for the lowest one) = 0.000 eV per atom
density = 8.4 g/cm³
symmetry = No. 221

No. 4
The following is a SCAN calculation of a crystal of Zr3HPb relaxed with PBEsol, from Alexandria.

Structure (extended XYZ):
```
5
Lattice="4.352 0.000 0.000 0.000 4.352 0.000 0.000 0.000 4.659" Properties=species:S:1:pos:R:3 pbc="T T T"
Zr 0.000 0.000 0.000
Zr 0.000 2.176 2.329
Zr 2.176 0.000 2.329
H 0.000 0.000 2.329
Pb 2.176 2.176 0.000
```

Summary:
density = 9.1 g/cm³
E_tot = -173.5 eV/cell
symmetry = No. 123

No. 5
The following is a SCAN calculation of a crystal of Zr2H2Pb relaxed with PBEsol, from Alexandria.

Structure (extended XYZ):
```
5
Lattice="-1.913 1.913 4.842 1.913 -1.913 4.842 1.913 1.913 -4.842" Properties=species:S:1:pos:R:3 pbc="T T T"
Zr 0.000 0.000 1.620
Zr 0.000 0.000 8.064
H 1.913 0.000 2.421
H 0.000 1.913 2.421
Pb 0.000 0.000 4.842
```

Summary:
density = 9.2 g/cm³
E_tot = -146.5 eV/cell
symmetry = No. 139

No. 6
The following is a SCAN calculation of a crystal of H3Pd4 relaxed with PBEsol, from Alexandria.

Structure (extended XYZ):
```
7
Lattice="1.424 0.822 9.278 -1.424 0.822 9.278 0.000 -1.644 9.278" Properties=species:S:1:pos:R:3 pbc="T T T"
H 0.000 0.000 0.000
H 0.000 0.000 6.718
H 0.000 0.000 21.116
Pd 0.000 0.000 3.507
Pd 0.000 0.000 10.445
Pd 0.000 0.000 17.389
Pd 0.000 0.000 24.328
```

Summary:
density = 10.9 g/cm³
E_tot = -142.0 eV/cell
symmetry = No. 166

No. 7
The following is a SCAN calculation of a crystal of HPd relaxed with PBEsol, from Alexandria.

Structure (extended XYZ):
```
2
Lattice="0.000 2.083 2.083 2.083 0.000 2.083 2.083 2.083 0.000" Properties=species:S:1:pos:R:3 pbc="T T T"
H 0.000 0.000 0.000
Pd 3.124 3.124 3.124
```

Summary:
polymorph energy (0 for the lowest one) = 0.000 eV per atom
density = 9.9 g/cm³
symmetry = No. 216

No. 8
The following is a SCAN calculation of a crystal of HPd relaxed with PBEsol, from Alexandria.

Structure (extended XYZ):
```
4
Lattice="2.877 0.000 0.000 -1.438 2.492 0.000 0.000 0.000 5.048" Properties=species:S:1:pos:R:3 pbc="T T T"
H 0.000 1.661 0.000
H 1.438 0.831 2.524
Pd 0.000 1.661 3.269
Pd 1.438 0.831 0.745
```

Summary:
polymorph energy (0 for the lowest one) = 0.018 eV per atom
density = 9.9 g/cm³
symmetry = No. 186